Record 1
A relaxed LiCe2S3 crystal. Source: Alexandria via LeMat-Bulk, functional GGA-PBE.

abc: 8.072 3.969 15.678
angles: 90.00 90.00 90.00
Positions (direct):
Li: 0.116 0.250 0.130
Li: 0.384 0.750 0.630
Li: 0.616 0.250 0.370
Li: 0.884 0.750 0.870
Ce: 0.074 0.250 0.717
Ce: 0.239 0.250 0.460
Ce: 0.261 0.750 0.960
Ce: 0.426 0.750 0.217
Ce: 0.574 0.250 0.783
Ce: 0.739 0.250 0.040
Ce: 0.761 0.750 0.540
Ce: 0.926 0.750 0.283
S: 0.022 0.250 0.904
S: 0.115 0.750 0.576
S: 0.188 0.250 0.276
S: 0.312 0.750 0.776
S: 0.385 0.250 0.076
S: 0.478 0.750 0.404
S: 0.522 0.250 0.596
S: 0.615 0.750 0.924
S: 0.688 0.250 0.224
S: 0.812 0.750 0.724
S: 0.885 0.250 0.424
S: 0.978 0.750 0.096

Its symmetry is Pnma (62). Its crystal system is orthorhombic. Its energy relative to the lowest polymorph listed for this composition is 0.0000 eV/atom.


Record 2
A relaxed PuNi2Ge crystal. Source: Alexandria via LeMat-Bulk, functional GGA-PBE.

abc: 5.261 5.261 5.261
angles: 45.50 45.50 45.50
Positions (direct):
Pu: 0.000 0.000 0.000
Ni: 0.203 0.203 0.203
Ni: 0.797 0.797 0.797
Ge: 0.500 0.500 0.500

As for the formation energy: -133 kJ/mol of formula units. Its symmetry is R-3m (166). Its crystal system is trigonal.


Record 3
A relaxed BaCa2Tl crystal. Source: Alexandria via LeMat-Bulk, functional GGA-PBE.

abc: 7.350 7.350 6.016
angles: 114.02 114.02 32.71
Positions (direct):
Ba: 0.000 0.000 0.000
Ca: 0.584 0.584 0.583
Ca: 0.794 0.794 0.296
Tl: 0.276 0.276 0.780

As for the formation energy: -58 kJ/mol of formula units. Its symmetry is Cm (8). Its crystal system is monoclinic. Its energy relative to the lowest polymorph listed for this composition is 0.1023 eV/atom.


Record 4
A relaxed Sr4LiSn crystal. Source: Alexandria via LeMat-Bulk, functional GGA-PBE.

abc: 9.461 9.461 7.463
angles: 108.56 108.56 110.85
Positions (direct):
Sr: 0.054 0.674 0.890
Sr: 0.255 0.368 0.739
Sr: 0.326 0.946 0.610
Sr: 0.368 0.255 0.239
Sr: 0.632 0.745 0.761
Sr: 0.674 0.054 0.390
Sr: 0.745 0.632 0.261
Sr: 0.946 0.326 0.110
Li: 0.003 0.997 0.750
Li: 0.997 0.003 0.250
Sn: 0.366 0.634 0.250
Sn: 0.634 0.366 0.750

As for the formation energy: -127 kJ/mol of formula units. Its symmetry is C2/c (15). Its crystal system is monoclinic.


Record 5
A relaxed CeTh3 crystal. Source: Alexandria via LeMat-Bulk, functional GGA-PBE.

abc: 6.097 6.097 6.097
angles: 131.70 131.70 70.70
Positions (direct):
Ce: 0.000 0.000 0.000
Th: 0.250 0.750 0.500
Th: 0.500 0.500 0.000
Th: 0.750 0.250 0.500

As for the formation energy: 4 kJ/mol of formula units. Its symmetry is I4/mmm (139). Its crystal system is tetragonal. Its energy relative to the lowest polymorph listed for this composition is 0.0000 eV/atom.


Record 6
A relaxed MgBe2Hg crystal. Source: Alexandria via LeMat-Bulk, functional GGA-PBE.

abc: 3.125 4.207 4.829
angles: 90.00 90.00 90.00
Positions (direct):
Mg: 0.000 0.000 0.000
Be: 0.500 0.500 0.234
Be: 0.500 0.500 0.766
Hg: 0.500 0.000 0.500

As for the formation energy: 123 kJ/mol of formula units. Its symmetry is Pmmm (47). Its crystal system is orthorhombic. Its energy relative to the lowest polymorph listed for this composition is 0.0605 eV/atom.


Record 7
A relaxed NdCd3Pt crystal. Source: Alexandria via LeMat-Bulk, functional GGA-PBE.

abc: 5.554 5.846 7.639
angles: 90.00 111.32 90.00
Positions (direct):
Nd: 0.219 0.250 0.122
Nd: 0.781 0.750 0.878
Cd: 0.203 0.005 0.695
Cd: 0.203 0.495 0.695
Cd: 0.350 0.750 0.401
Cd: 0.650 0.250 0.599
Cd: 0.797 0.505 0.305
Cd: 0.797 0.995 0.305
Pt: 0.344 0.750 0.034
Pt: 0.656 0.250 0.966

As for the formation energy: -240 kJ/mol of formula units. Its symmetry is P2_1/m (11). Its crystal system is monoclinic.


Record 8
A relaxed Dy4In2H crystal. Source: Alexandria via LeMat-Bulk, functional GGA-PBE.

abc: 6.026 6.738 9.017
angles: 90.00 104.77 90.00
Positions (direct):
Dy: 0.180 0.250 0.067
Dy: 0.267 0.750 0.375
Dy: 0.273 0.501 0.732
Dy: 0.273 0.999 0.732
Dy: 0.727 0.001 0.268
Dy: 0.727 0.499 0.268
Dy: 0.733 0.250 0.625
Dy: 0.820 0.750 0.933
In: 0.214 0.250 0.419
In: 0.346 0.750 0.043
In: 0.654 0.250 0.957
In: 0.786 0.750 0.581
H: 0.079 0.250 0.800
H: 0.921 0.750 0.200

Its symmetry is P2_1/m (11). Its crystal system is monoclinic. Its energy relative to the lowest polymorph listed for this composition is 0.0000 eV/atom.


Record 9
A relaxed Pm6Ho2TmTh crystal. Source: Alexandria via LeMat-Bulk, functional GGA-PBE.

abc: 8.857 8.857 9.573
angles: 93.47 93.47 116.15
Positions (direct):
Pm: 0.007 0.572 0.189
Pm: 0.113 0.764 0.559
Pm: 0.236 0.887 0.941
Pm: 0.295 0.517 0.384
Pm: 0.428 0.993 0.311
Pm: 0.483 0.705 0.116
Pm: 0.517 0.295 0.884
Pm: 0.572 0.007 0.689
Pm: 0.705 0.483 0.616
Pm: 0.764 0.113 0.059
Pm: 0.887 0.236 0.441
Pm: 0.993 0.428 0.811
Ho: 0.203 0.297 0.052
Ho: 0.297 0.203 0.552
Ho: 0.703 0.797 0.448
Ho: 0.797 0.703 0.948
Tm: 0.411 0.589 0.750
Tm: 0.589 0.411 0.250
Th: 0.031 0.969 0.250
Th: 0.969 0.031 0.750

As for the formation energy: 140 kJ/mol of formula units. Its symmetry is C2/c (15). Its crystal system is monoclinic.


Record 10
A relaxed PAu5 crystal. Source: Alexandria via LeMat-Bulk, functional GGA-PBE.

abc: 4.893 7.618 7.618
angles: 22.03 90.00 90.00
Positions (direct):
P: 0.000 0.000 0.000
Au: 0.000 0.334 0.334
Au: 0.000 0.659 0.659
Au: 0.500 0.109 0.109
Au: 0.500 0.445 0.445
Au: 0.500 0.776 0.776

As for the formation energy: 104 kJ/mol of formula units. Its symmetry is Amm2 (38). Its crystal system is orthorhombic. Its energy relative to the lowest polymorph listed for this composition is 0.0275 eV/atom.


Record 11
A relaxed Pu2MgGa3Cu4 crystal. Source: Alexandria via LeMat-Bulk, functional GGA-PBE.

abc: 4.101 4.101 10.802
angles: 90.00 90.00 90.00
Positions (direct):
Pu: 0.000 0.500 0.236
Pu: 0.500 0.000 0.764
Mg: 0.000 0.000 0.500
Ga: 0.000 0.500 0.872
Ga: 0.500 0.000 0.128
Ga: 0.500 0.500 0.500
Cu: 0.000 0.000 0.000
Cu: 0.000 0.500 0.647
Cu: 0.500 0.000 0.353
Cu: 0.500 0.500 0.000

As for the formation energy: -163 kJ/mol of formula units. Its symmetry is P-4m2 (115). Its crystal system is tetragonal.


Record 12
A relaxed LuZrCoHg crystal. Source: Alexandria via LeMat-Bulk, functional GGA-PBE.

abc: 4.848 4.848 4.848
angles: 60.00 60.00 60.00
Positions (direct):
Lu: 0.000 0.000 0.000
Zr: 0.500 0.500 0.500
Co: 0.250 0.250 0.250
Hg: 0.750 0.750 0.750

As for the formation energy: -51 kJ/mol of formula units. Its symmetry is F-43m (216). Its crystal system is cubic.


Record 13
A relaxed Mn3PtS crystal. Source: Alexandria via LeMat-Bulk, functional GGA-PBE.

abc: 4.066 4.066 4.066
angles: 90.00 90.00 90.00
Positions (direct):
Mn: 0.000 0.000 0.500
Mn: 0.000 0.500 0.000
Mn: 0.500 0.000 0.000
Pt: 0.500 0.500 0.500
S: 0.000 0.000 0.000

Its symmetry is Pm-3m (221). Its crystal system is cubic. Its energy relative to the lowest polymorph listed for this composition is 0.0000 eV/atom.


Record 14
A relaxed La6Tc2PtBr3 crystal. Source: Alexandria via LeMat-Bulk, functional GGA-PBE.

abc: 7.303 7.303 8.262
angles: 98.47 98.47 120.04
Positions (direct):
La: 0.085 0.433 0.802
La: 0.217 0.217 0.198
La: 0.433 0.085 0.802
La: 0.567 0.915 0.198
La: 0.783 0.783 0.802
La: 0.915 0.567 0.198
Tc: 0.165 0.835 0.000
Tc: 0.835 0.165 0.000
Pt: 0.500 0.500 0.000
Br: 0.000 0.000 0.500
Br: 0.331 0.669 0.500
Br: 0.669 0.331 0.500

Its symmetry is C2/m (12). The raw total energy comes out at -71.801 eV for the cell shown. Its crystal system is monoclinic.


Record 15
A relaxed In6HgBi5 crystal. Source: Alexandria via LeMat-Bulk, functional GGA-PBE.

abc: 4.571 9.307 9.445
angles: 103.35 103.82 104.17
Positions (direct):
In: 0.247 0.247 0.249
In: 0.250 0.584 0.915
In: 0.250 0.915 0.584
In: 0.750 0.085 0.416
In: 0.750 0.416 0.085
In: 0.753 0.753 0.751
Hg: 0.000 0.500 0.500
Bi: 0.000 0.172 0.827
Bi: 0.000 0.828 0.173
Bi: 0.498 0.331 0.666
Bi: 0.500 0.000 0.000
Bi: 0.502 0.669 0.334

As for the formation energy: 44 kJ/mol of formula units. Its symmetry is P-1 (2). Its crystal system is triclinic.


Record 16
A relaxed La2Pr2CdIn4 crystal. Source: Alexandria via LeMat-Bulk, functional GGA-PBE.

abc: 7.353 7.353 7.353
angles: 121.05 121.05 88.19
Positions (direct):
La: 0.250 0.750 0.500
La: 0.750 0.250 0.500
Pr: 0.216 0.216 0.000
Pr: 0.784 0.784 0.000
Cd: 0.500 0.500 0.000
In: 0.226 0.226 0.453
In: 0.226 0.774 0.000
In: 0.774 0.226 0.000
In: 0.774 0.774 0.547

As for the formation energy: -196 kJ/mol of formula units. Its symmetry is I4/mmm (139). Its crystal system is tetragonal.


Record 17
A relaxed CrSb3Pt12 crystal. Source: Alexandria via LeMat-Bulk, functional GGA-PBE.

abc: 4.027 4.027 16.395
angles: 90.00 90.00 90.00
Positions (direct):
Cr: 0.000 0.000 0.000
Sb: 0.000 0.000 0.236
Sb: 0.000 0.000 0.500
Sb: 0.000 0.000 0.764
Pt: 0.000 0.500 0.118
Pt: 0.000 0.500 0.375
Pt: 0.000 0.500 0.625
Pt: 0.000 0.500 0.882
Pt: 0.500 0.000 0.118
Pt: 0.500 0.000 0.375
Pt: 0.500 0.000 0.625
Pt: 0.500 0.000 0.882
Pt: 0.500 0.500 0.000
Pt: 0.500 0.500 0.252
Pt: 0.500 0.500 0.500
Pt: 0.500 0.500 0.748

Its symmetry is P4/mmm (123). The raw total energy comes out at -97.491 eV for the cell shown. Its crystal system is tetragonal.


Record 18
A relaxed TcAg3Br9 crystal. Source: Alexandria via LeMat-Bulk, functional GGA-PBE.

abc: 9.960 9.960 13.999
angles: 116.06 116.06 49.89
Positions (direct):
Tc: 0.241 0.759 0.500
Tc: 0.759 0.241 0.000
Ag: 0.119 0.690 0.694
Ag: 0.134 0.649 0.958
Ag: 0.649 0.134 0.458
Ag: 0.690 0.119 0.194
Ag: 0.757 0.757 0.126
Ag: 0.757 0.757 0.626
Br: 0.038 0.157 0.984
Br: 0.054 0.485 0.703
Br: 0.069 0.954 0.658
Br: 0.157 0.038 0.484
Br: 0.286 0.757 0.922
Br: 0.339 0.467 0.533
Br: 0.379 0.585 0.344
Br: 0.467 0.339 0.033
Br: 0.485 0.054 0.203
Br: 0.526 0.710 0.641
Br: 0.551 0.994 0.512
Br: 0.585 0.379 0.844
Br: 0.710 0.526 0.141
Br: 0.757 0.286 0.422
Br: 0.789 0.949 0.880
Br: 0.949 0.789 0.380
Br: 0.954 0.069 0.158
Br: 0.994 0.551 0.012

Its symmetry is Cc (9). The raw total energy comes out at -74.517 eV for the cell shown. Its crystal system is monoclinic.


Record 19
A relaxed Pr2ErBi2 crystal. Source: Alexandria via LeMat-Bulk, functional GGA-PBE.

abc: 8.225 8.225 8.225
angles: 116.01 82.86 133.30
Positions (direct):
Pr: 0.151 0.145 0.296
Pr: 0.349 0.645 0.995
Pr: 0.651 0.355 0.005
Pr: 0.849 0.855 0.704
Er: 0.250 0.750 0.500
Er: 0.750 0.250 0.500
Bi: 0.108 0.776 0.884
Bi: 0.392 0.276 0.668
Bi: 0.608 0.724 0.332
Bi: 0.892 0.224 0.116

As for the formation energy: -300 kJ/mol of formula units. Its symmetry is Ibam (72). Its crystal system is orthorhombic.


Record 20
A relaxed SiMoSe2 crystal. Source: Alexandria via LeMat-Bulk, functional GGA-PBE.

abc: 3.643 4.488 4.479
angles: 90.00 99.02 90.00
Positions (direct):
Si: 0.000 0.000 0.000
Mo: 0.500 0.000 0.500
Se: 0.308 0.500 0.743
Se: 0.692 0.500 0.257

Its symmetry is P2/m (10). The raw total energy comes out at -21.603 eV for the cell shown. Its crystal system is monoclinic.


| no. | mass density (g cm⁻³) |
| --- | --- |
| 1 | 5.070 |
| 2 | 10.676 |
| 3 | 4.405 |
| 4 | 3.059 |
| 5 | 11.223 |
| 6 | 6.353 |
| 7 | 9.724 |
| 8 | 8.261 |
| 9 | 7.940 |
| 10 | 15.840 |
| 11 | 8.916 |
| 12 | 10.832 |
| 13 | 9.685 |
| 14 | 6.671 |
| 15 | 8.922 |
| 16 | 6.794 |
| 17 | 17.228 |
| 18 | 4.078 |
| 19 | 8.217 |
| 20 | 6.473 |